[1]
Entry from Alexandria via LeMat-Bulk: an optimized crystal structure of ReBP3 (PBE-GGA).

Calculated values
Uncorrected energy ... -5.627 eV/atom
Energy relative to the elements ... 1444 meV/atom
Spin magnetization ... 0.00 μB per formula unit
Crystal system ... cubic

Lattice parameters (Å, degrees): 4.627 4.627 4.627 90.00 90.00 90.00
Fractional positions:
P  0.500  0.000  0.000
P  0.000  0.500  0.000
P  0.000  0.000  0.500
B  0.500  0.500  0.500
Re  0.000  0.000  0.000


[2]
Entry from Alexandria via LeMat-Bulk: an optimized crystal structure of InCoAs2Se (PBE-GGA).

Calculated values
Uncorrected energy ... -4.300 eV/atom
E_form (uncorrected) ... 0.23 eV per atom
Spin magnetization ... 0.00 μB per formula unit
Crystal system ... tetragonal

Lattice parameters (Å, degrees): 4.454 4.454 5.313 90.00 90.00 90.00
Fractional positions:
In  0.500  0.500  0.500
Se  0.000  0.000  0.500
As  0.500  0.000  0.000
As  0.000  0.500  0.000
Co  0.000  0.000  0.000


Short version: D(E_F) = 4.749, 4.868 states/eV per cell, in the order given.